! GGA-PBE K3CePm2S6, optimized geometry; values from VASP
&SYSTEM
  ibrav = 0, nat = 12, ntyp = 4
/
ATOMIC_SPECIES
K 39.10 K.upf
Ce 140.12 Ce.upf
Pm 145.00 Pm.upf
S 32.06 S.upf
ATOMIC_POSITIONS crystal
K 0.167 0.833 0.500
K 0.833 0.167 0.500
K 0.500 0.500 0.500
Ce 0.000 0.000 0.000
Pm 0.333 0.667 0.000
Pm 0.667 0.333 0.000
S 0.931 0.597 0.794
S 0.734 0.734 0.206
S 0.069 0.403 0.206
S 0.597 0.931 0.794
S 0.266 0.266 0.794
S 0.403 0.069 0.206
CELL_PARAMETERS angstrom
-2.180 6.841 1.010
-3.281 -4.157 -4.952
-2.989 -3.181 6.420
! - Space group: No. 12
! - Energy relative to the elements, uncorrected: -1.837 eV/atom